a) An optimized crystal structure of NdMgTe2, computed with PBE.

Cell and atoms, written as CIF:
```
data_NdMgTe2
_symmetry_space_group_name_H-M 'R -3 m'
_symmetry_Int_Tables_number 166
_symmetry_space_group_name_Hall '-R 3 2"'
_cell_length_a 4.2407
_cell_length_b 4.2407
_cell_length_c 22.7803
_cell_angle_alpha 90.00
_cell_angle_beta 90.00
_cell_angle_gamma 120.00
loop_
_atom_site_label
_atom_site_fract_x
_atom_site_fract_y
_atom_site_fract_z
Nd1 0.0000 0.0000 0.0000
Mg1 0.0000 0.0000 0.5000
Te1 0.0000 0.0000 0.2419
```

---

b) An optimized crystal structure of NdMgTe2, computed with PBE.

Cell and atoms, written as CIF:
```
data_NdMgTe2
_symmetry_space_group_name_H-M 'R 3 m'
_symmetry_Int_Tables_number 160
_symmetry_space_group_name_Hall 'R 3 -2"'
_cell_length_a 4.2670
_cell_length_b 4.2670
_cell_length_c 22.5667
_cell_angle_alpha 90.00
_cell_angle_beta 90.00
_cell_angle_gamma 120.00
loop_
_atom_site_label
_atom_site_fract_x
_atom_site_fract_y
_atom_site_fract_z
Nd1 0.0000 0.0000 0.0000
Mg1 0.0000 0.0000 0.1661
Te1 0.0000 0.0000 0.5728
Te2 0.0000 0.0000 0.7574
```

---

Stability check: which of them is most stable? b).

---

a) An optimized crystal structure of NdTh2Mg, computed with PBE.

Cell and atoms, written as CIF:
```
data_NdTh2Mg
_symmetry_space_group_name_H-M 'F m -3 m'
_symmetry_Int_Tables_number 225
_symmetry_space_group_name_Hall '-F 4 2 3'
_cell_length_a 7.912
_cell_length_b 7.912
_cell_length_c 7.912
_cell_angle_alpha 90.00
_cell_angle_beta 90.00
_cell_angle_gamma 90.00
loop_
_atom_site_label
_atom_site_fract_x
_atom_site_fract_y
_atom_site_fract_z
Nd1 0.000 0.000 0.000
Th1 0.250 0.250 0.250
Mg1 0.000 0.000 0.500
```

---

b) An optimized crystal structure of NdTh2Mg, computed with PBE.

Cell and atoms, written as CIF:
```
data_NdTh2Mg
_symmetry_space_group_name_H-M 'P 4/m m m'
_symmetry_Int_Tables_number 123
_symmetry_space_group_name_Hall '-P 4 2'
_cell_length_a 4.930
_cell_length_b 4.930
_cell_length_c 5.093
_cell_angle_alpha 90.00
_cell_angle_beta 90.00
_cell_angle_gamma 90.00
loop_
_atom_site_label
_atom_site_fract_x
_atom_site_fract_y
_atom_site_fract_z
Nd1 0.000 0.000 0.000
Th1 0.000 0.500 0.500
Mg1 0.500 0.500 0.000
```

---

Stability check: which of them is most stable? b).

---

a) An optimized crystal structure of NdThMg4, computed with PBE.

Cell and atoms, written as CIF:
```
data_NdThMg4
_symmetry_space_group_name_H-M 'F -4 3 m'
_symmetry_Int_Tables_number 216
_symmetry_space_group_name_Hall 'F -4 2 3'
_cell_length_a 8.606
_cell_length_b 8.606
_cell_length_c 8.606
_cell_angle_alpha 90.00
_cell_angle_beta 90.00
_cell_angle_gamma 90.00
loop_
_atom_site_label
_atom_site_fract_x
_atom_site_fract_y
_atom_site_fract_z
Nd1 0.000 0.000 0.000
Th1 0.250 0.250 0.750
Mg1 0.125 0.125 0.375
```

---

b) An optimized crystal structure of NdThMg4, computed with PBE.

Cell and atoms, written as CIF:
```
data_NdThMg4
_symmetry_space_group_name_H-M 'P 1 21/m 1'
_symmetry_Int_Tables_number 11
_symmetry_space_group_name_Hall '-P 2yb'
_cell_length_a 6.668
_cell_length_b 5.287
_cell_length_c 9.741
_cell_angle_alpha 90.00
_cell_angle_beta 109.85
_cell_angle_gamma 90.00
loop_
_atom_site_label
_atom_site_fract_x
_atom_site_fract_y
_atom_site_fract_z
Nd1 0.126 0.250 0.252
Th1 0.376 0.750 0.752
Mg1 0.042 0.250 0.584
Mg2 0.211 0.250 0.917
Mg3 0.295 0.750 0.084
Mg4 0.459 0.750 0.417
```

---

Stability check: which of them is most stable? a).